The following is a GGA-PBE calculation of a relaxed Tb2Er2Pu crystal, from Alexandria.

Values from the calculation:
Calculated volume, Å³/f.u.: 151.6
DOS(E_F), states/eV/f.u.: 8.85
SG: No. 72
Energy, eV/atom: -6.443
Total moment, μB per formula unit: 5.694

abc: 5.916 6.695 8.862
angles: 112.20 109.50 90.00
Site moments in Bohr magnetons follow the coordinates.
Atoms (fractional coordinates):
1 Er 0.413 0.044 0.825  0.02
2 Er 0.087 0.219 0.175  0.02
3 Er 0.913 0.781 0.825  0.02
4 Er 0.587 0.956 0.175  0.02
5 Tb 0.311 0.467 0.622  -0.01
6 Tb 0.811 0.155 0.622  -0.01
7 Tb 0.189 0.845 0.378  -0.01
8 Tb 0.689 0.533 0.378  -0.01
9 Pu 0.250 0.500 0.000  5.58
10 Pu 0.750 0.500 0.000  5.58

=====

The following is a GGA-PBE calculation of a relaxed KLiHgPb crystal, from Alexandria.

Values from the calculation:
Calculated volume, Å³/f.u.: 110.6
DOS(E_F), states/eV/f.u.: 0.90
SG: No. 216
Energy, eV/atom: -1.898
Total moment, μB per formula unit: 0.000

abc: 5.387 5.387 5.387
angles: 60.00 60.00 60.00
Atoms (fractional coordinates):
1 K 0.250 0.250 0.250
2 Li 0.000 0.000 0.000
3 Hg 0.500 0.500 0.500
4 Pb 0.750 0.750 0.750

=====

The following is a GGA-PBE calculation of a relaxed SrTaAlFe2 crystal, from Alexandria.

Values from the calculation:
Calculated volume, Å³/f.u.: 100.5
DOS(E_F), states/eV/f.u.: 10.69
SG: No. 123
Total moment, μB per formula unit: 0.507
Energy relative to the lowest polymorph listed for this composition, eV/f.u.: 7.88

abc: 4.441 5.096 4.441
angles: 90.00 90.00 90.00
Site moments in Bohr magnetons follow the coordinates.
Atoms (fractional coordinates):
1 Ta 0.000 0.500 0.000  -0.20
2 Fe 0.500 0.000 0.000  0.49
3 Fe 0.000 0.000 0.500  0.36
4 Al 0.500 0.500 0.500  0.00
5 Sr 0.000 0.000 0.000  0.00

=====

The following is a GGA-PBE calculation of a relaxed Li2MgRe crystal, from Alexandria.

Values from the calculation:
Calculated volume, Å³/f.u.: 63.4
DOS(E_F), states/eV/f.u.: 3.29
SG: No. 6
Total moment, μB per formula unit: 0.000
Energy relative to the lowest polymorph listed for this composition, eV/f.u.: 0.56

abc: 4.496 2.587 5.560
angles: 78.55 90.00 90.00
Atoms (fractional coordinates):
1 Mg 0.000 0.424 0.523
2 Re 0.500 0.795 0.750
3 Li 0.500 0.156 0.235
4 Li 0.000 0.126 0.992

=====

The following is a GGA-PBE calculation of a relaxed BaCd3Ga crystal, from Alexandria.

Values from the calculation:
Calculated volume, Å³/f.u.: 137.6
DOS(E_F), states/eV/f.u.: 2.66
SG: No. 63
Total moment, μB per formula unit: 0.000
Energy relative to the lowest polymorph listed for this composition, eV/f.u.: 0.00

abc: 6.770 6.730 7.113
angles: 121.90 90.00 90.00
Atoms (fractional coordinates):
1 Cd 0.000 0.000 0.287
2 Cd 0.250 0.227 0.114
3 Cd 0.750 0.773 0.886
4 Cd 0.500 0.000 0.713
5 Cd 0.000 0.000 0.713
6 Cd 0.500 0.000 0.287
7 Ga 0.750 0.297 0.648
8 Ga 0.250 0.703 0.352
9 Ba 0.250 0.535 0.768
10 Ba 0.750 0.465 0.232

=====

The following is a GGA-PBE calculation of a relaxed CaNdN crystal, from Alexandria.

Values from the calculation:
Calculated volume, Å³/f.u.: 72.6
DOS(E_F), states/eV/f.u.: 2.24
SG: No. 156
Total moment, μB per formula unit: 0.283
Energy relative to the lowest polymorph listed for this composition, eV/f.u.: 0.00
E_form (uncorrected), eV/atom: -0.78

abc: 6.262 3.660 3.660
angles: 120.00 90.00 90.00
Site moments in Bohr magnetons follow the coordinates.
Atoms (fractional coordinates):
1 N 0.314 0.333 0.667  -0.02
2 Nd 0.123 0.000 0.000  0.09
3 Ca 0.563 0.667 0.333  0.02

=====

The following is a GGA-PBE calculation of a relaxed CoNiRh2 crystal, from Alexandria.

Values from the calculation:
Calculated volume, Å³/f.u.: 52.8
DOS(E_F), states/eV/f.u.: 7.20
SG: No. 12
Total moment, μB per formula unit: 3.906
Energy relative to the lowest polymorph listed for this composition, eV/f.u.: 0.65

abc: 5.075 5.075 2.621
angles: 75.97 75.97 117.68
Site moments in Bohr magnetons follow the coordinates.
Atoms (fractional coordinates):
1 Ni 0.000 0.500 0.500  0.72
2 Co 0.500 0.000 0.500  2.03
3 Rh 0.000 0.000 0.000  0.60
4 Rh 0.500 0.500 0.000  0.60

=====

The following is a GGA-PBE calculation of a relaxed SbOsCl2 crystal, from Alexandria.

Values from the calculation:
Calculated volume, Å³/f.u.: 97.0
DOS(E_F), states/eV/f.u.: 2.73
SG: No. 166
Total moment, μB per formula unit: 0.000
Energy relative to the lowest polymorph listed for this composition, eV/f.u.: 1.26
E_form (uncorrected), eV/atom: 0.34

abc: 12.436 12.436 12.436
angles: 13.93 13.93 13.93
Atoms (fractional coordinates):
1 Os 0.000 0.000 0.000
2 Sb 0.500 0.500 0.500
3 Cl 0.060 0.060 0.060
4 Cl 0.940 0.940 0.940

=====

> Look up the calculated volume of the seventh one.

52.8 Å³/f.u.